No. 1
Compound: Ho4Ir2Au
Source: Alexandria via LeMat-Bulk
Functional: PBE
Structure: optimized geometry

Unit cell a=7.497 b=7.502 c=7.521 alpha=109.21 beta=109.20 gamma=109.81
Fractional coordinates of all 14 atoms:
Ir: 0.124 0.504 0.879
Ir: 0.495 0.376 0.621
Ho: 0.391 0.003 0.254
Ir: 0.754 0.874 0.379
Ho: 0.862 0.610 0.611
Ho: 0.386 0.499 0.245
Ho: 0.000 0.252 0.390
Ho: 0.860 0.612 0.110
Ho: 0.749 0.137 0.746
Ho: 0.253 0.140 0.754
Au: 0.999 0.999 0.000
Au: 0.249 0.749 0.500
Ho: 0.502 0.750 0.890
Ir: 0.626 0.245 0.121

Calculated values
* space-group type: Cc, No. 9
* final energy: -89.7 eV/cell



No. 2
Compound: Cd2AsW
Source: Alexandria via LeMat-Bulk
Functional: PBE
Structure: optimized geometry

Unit cell a=5.169 b=5.169 c=2.916 alpha=90.00 beta=90.00 gamma=90.00
Fractional coordinates of all 4 atoms:
W: 0.500 0.000 0.500
Cd: 0.000 0.000 0.000
As: 0.000 0.500 0.500
Cd: 0.500 0.500 0.000

Calculated values
* space-group type: P4/mmm, No. 123
* final energy: -16.3 eV/cell



no.,ΔH_f (0 K) (meV per atom)
1,-792
2,772